# 1
The following is a DFT calculation (SCAN) of a crystal of CdPt7 relaxed with PBEsol.

Cell and atoms, written as extended XYZ:
```
8
Lattice="5.5739 0.0000 0.0000 2.7869 4.8271 0.0000 2.7869 1.6090 4.5511" Properties=species:S:1:pos:R:3 pbc="T T T"
Cd 0.0000 0.0000 0.0000
Pt 2.7869 0.0000 0.0000
Pt 4.1804 2.4136 0.0000
Pt 1.3935 2.4136 0.0000
Pt 4.1804 0.8045 2.2755
Pt 1.3935 0.8045 2.2755
Pt 2.7869 3.2181 2.2755
Pt 5.5739 3.2181 2.2755
```

## Properties
The raw total energy comes out at -522.5 eV/cell. As for the formation energy: -0.10 eV per atom.



# 2
The following is a DFT calculation (SCAN) of a crystal of CdPt4 relaxed with PBEsol.

Cell and atoms, written as extended XYZ:
```
5
Lattice="-0.7640 2.2158 3.2250 -4.6980 1.0467 0.6321 -0.8773 -2.5713 4.0230" Properties=species:S:1:pos:R:3 pbc="T T T"
Pt -2.9028 -0.7394 4.7487
Pt -4.8788 1.0827 5.4929
Pt -3.4365 1.4306 3.1313
Pt -1.4605 -0.3915 2.3872
Cd 0.0000 0.0000 0.0000
```

## Properties
The raw total energy comes out at -311.7 eV/cell. As for the formation energy: -0.10 eV per atom. For the energy relative to the lowest polymorph listed for this composition, the calculation gives 0 meV per atom.



# 3
The following is a DFT calculation (SCAN) of a crystal of Cd2Pt relaxed with PBEsol.

Cell and atoms, written as extended XYZ:
```
3
Lattice="2.9820 0.0000 0.0000 0.0000 2.9820 0.0000 -1.4910 -1.4910 6.0588" Properties=species:S:1:pos:R:3 pbc="T T T"
Pt 0.0000 0.0000 0.0000
Cd 1.4910 1.4910 1.8823
Cd 0.0000 0.0000 4.1765
```

## Properties
The raw total energy comes out at -131.7 eV/cell. As for the formation energy: -0.21 eV per atom.



# 4
The following is a DFT calculation (SCAN) of a crystal of Cd3Pt5 relaxed with PBEsol.

Cell and atoms, written as extended XYZ:
```
8
Lattice="-0.9260 2.4430 -3.1206 -2.2499 -4.3761 -2.7582 -4.9547 1.2040 2.4128" Properties=species:S:1:pos:R:3 pbc="T T T"
Cd -3.6023 -1.5860 -0.1727
Cd -3.3698 -1.7992 -3.0626
Cd -4.7607 1.0702 -0.4035
Pt 0.0000 0.0000 0.0000
Pt -1.1249 -2.1880 -1.3791
Pt -2.4773 0.6020 1.2064
Pt -5.8626 -1.1559 -1.8192
Pt -2.2679 0.4268 -1.6469
```

## Properties
The raw total energy comes out at -444.4 eV/cell. As for the formation energy: -0.27 eV per atom.



# 5
The following is a DFT calculation (SCAN) of a crystal of CdPt2 relaxed with PBEsol.

Cell and atoms, written as extended XYZ:
```
6
Lattice="-1.1970 -0.9315 2.3829 -1.4041 -3.8803 -2.2221 6.8310 -2.8419 0.6463" Properties=species:S:1:pos:R:3 pbc="T T T"
Pt -0.8927 -3.7787 -0.2514
Pt 2.4296 -3.2291 1.6323
Pt 1.8003 -4.4245 -0.8252
Pt 5.1226 -3.8750 1.0585
Cd 3.2638 -5.9846 0.9742
Cd 0.9661 -1.6691 -0.1671
```

## Properties
The raw total energy comes out at -342.6 eV/cell. As for the formation energy: -0.16 eV per atom.



# 6
The following is a DFT calculation (SCAN) of a crystal of CdPt2 relaxed with PBEsol.

Cell and atoms, written as extended XYZ:
```
3
Lattice="2.8131 0.0000 0.0000 0.0000 4.0104 0.0000 -1.4065 -2.0052 4.2807" Properties=species:S:1:pos:R:3 pbc="T T T"
Pt 1.4065 2.0052 1.4400
Pt 0.0000 0.0000 2.8407
Cd 0.0000 0.0000 0.0000
```

## Properties
The raw total energy comes out at -171.3 eV/cell. As for the formation energy: -0.15 eV per atom.



# 7
The following is a DFT calculation (SCAN) of a crystal of Cd7Pt relaxed with PBEsol.

Cell and atoms, written as extended XYZ:
```
8
Lattice="5.9956 0.0000 0.0000 2.9978 5.1923 0.0000 2.9978 1.7308 4.8954" Properties=species:S:1:pos:R:3 pbc="T T T"
Cd 2.9978 0.0000 0.0000
Cd 4.4967 2.5962 0.0000
Cd 1.4989 2.5962 0.0000
Cd 4.4967 0.8654 2.4477
Cd 1.4989 0.8654 2.4477
Cd 2.9978 3.4615 2.4477
Cd 5.9956 3.4615 2.4477
Pt 0.0000 0.0000 0.0000
```

## Properties
The raw total energy comes out at -283.6 eV/cell. As for the formation energy: -0.06 eV per atom.



# 8
The following is a DFT calculation (SCAN) of a crystal of CdPt2 relaxed with PBEsol.

Cell and atoms, written as extended XYZ:
```
3
Lattice="2.8313 0.0000 0.0000 0.0000 2.8313 0.0000 -1.4156 -1.4156 5.9932" Properties=species:S:1:pos:R:3 pbc="T T T"
Pt 0.0000 0.0000 2.0287
Pt 1.4156 1.4156 3.9646
Cd 1.4156 1.4156 0.0000
```

## Properties
The raw total energy comes out at -171.4 eV/cell. As for the formation energy: -0.21 eV per atom.



# 9
The following is a DFT calculation (SCAN) of a crystal of Cd2Pt relaxed with PBEsol.

Cell and atoms, written as extended XYZ:
```
24
Lattice="-4.4652 -1.9373 7.0818 4.0917 -2.7263 7.0477 0.4958 5.0773 6.9152" Properties=species:S:1:pos:R:3 pbc="T T T"
Cd 2.3090 1.2272 9.6120
Cd 0.0764 0.2585 13.1529
Cd -0.1715 -2.2801 9.6953
Cd -1.9695 1.6217 9.6291
Cd 1.7634 0.9243 6.5783
Cd 1.5736 -1.0195 3.9309
Cd -0.1359 -1.7612 6.6421
Cd 0.1970 1.9680 3.8802
Cd -1.5125 1.2263 6.5914
Cd -1.7023 -0.7174 3.9440
Cd 2.8546 1.5301 12.6457
Cd 2.5486 -1.6034 8.3779
Cd -0.2072 -2.7990 12.7486
Cd 0.3294 3.2127 8.2961
Cd -2.4264 2.0171 12.6668
Cd -2.7324 -1.1165 8.3990
Pt -1.4165 1.3611 15.1201
Pt -0.0811 -1.5369 15.1693
Pt 0.1030 0.3487 17.7373
Pt 1.7612 1.0681 15.1074
Pt 1.5692 -0.8440 11.1858
Pt 0.2339 2.0539 11.1366
Pt 0.0498 0.1684 8.5685
Pt -1.6085 -0.5510 11.1985
```

## Properties
The raw total energy comes out at -1055.6 eV/cell. As for the formation energy: -0.31 eV per atom.



# 10
The following is a DFT calculation (SCAN) of a crystal of CdPt4 relaxed with PBEsol.

Cell and atoms, written as extended XYZ:
```
5
Lattice="5.0379 0.0000 0.0000 -1.6793 4.7497 0.0000 -1.6793 -2.3749 4.1134" Properties=species:S:1:pos:R:3 pbc="T T T"
Cd 0.0000 0.0000 0.0000
Pt -0.8396 -1.1874 2.0567
Pt -0.8396 2.3749 0.0000
Pt 2.5189 0.0000 0.0000
Pt 0.8396 1.1874 2.0567
```

## Properties
The raw total energy comes out at -306.8 eV/cell. As for the formation energy: 0.88 eV per atom. For the energy relative to the lowest polymorph listed for this composition, the calculation gives 984 meV per atom.



# 11
The following is a DFT calculation (SCAN) of a crystal of Cd2Pt3 relaxed with PBEsol.

Cell and atoms, written as extended XYZ:
```
10
Lattice="-2.5736 -2.6620 3.3806 -4.0976 -3.0846 -1.8304 5.6004 -3.9025 -2.5274" Properties=species:S:1:pos:R:3 pbc="T T T"
Cd 1.3472 -6.6877 -1.4618
Cd -1.7679 -2.2890 -0.3695
Cd 0.8138 -4.9048 1.3951
Cd -2.5213 -5.4029 -1.5361
Pt 2.9755 -4.6002 -0.6396
Pt -4.5429 -5.5627 0.3147
Pt -0.8076 -6.9305 0.2223
Pt -2.0466 -4.5633 1.1431
Pt -0.1534 -0.1587 0.2015
Pt -0.0454 -4.3177 -1.1323
```

## Properties
The raw total energy comes out at -544.6 eV/cell. As for the formation energy: -0.18 eV per atom.



# 12
The following is a DFT calculation (SCAN) of a crystal of Cd2Pt relaxed with PBEsol.

Cell and atoms, written as extended XYZ:
```
6
Lattice="-2.3254 1.7860 -0.0149 -0.9823 -1.3166 -4.5162 -3.2311 -6.5920 2.6246" Properties=species:S:1:pos:R:3 pbc="T T T"
Cd -5.1888 -4.3609 -1.4353
Cd -1.3500 -1.7617 -0.4712
Cd -4.1193 -5.3536 1.1783
Cd -2.4195 -0.7690 -3.0848
Pt -2.6570 -3.4782 -2.2433
Pt -3.8817 -2.6444 0.3368
```

## Properties
The raw total energy comes out at -262.7 eV/cell. As for the formation energy: -0.10 eV per atom.



# 13
The following is a DFT calculation (SCAN) of a crystal of CdPt2 relaxed with PBEsol.

Cell and atoms, written as extended XYZ:
```
3
Lattice="-1.3737 -3.2302 -2.5028 2.3441 -1.2402 -3.3988 2.0457 -3.7943 0.0613" Properties=species:S:1:pos:R:3 pbc="T T T"
Pt 2.2620 -6.1984 -4.3803
Pt 0.7540 -2.0661 -1.4601
Cd 0.0000 0.0000 0.0000
```

## Properties
The raw total energy comes out at -169.8 eV/cell. As for the formation energy: 0.32 eV per atom.



# 14
The following is a DFT calculation (SCAN) of a crystal of RbCd2Pt2 relaxed with PBEsol.

Cell and atoms, written as extended XYZ:
```
5
Lattice="4.5611 0.0000 0.0000 0.0000 4.5611 0.0000 -2.2806 -2.2806 5.5871" Properties=species:S:1:pos:R:3 pbc="T T T"
Rb 0.0000 0.0000 0.0000
Pt 0.0000 0.0000 4.3259
Pt 2.2806 2.2806 1.2612
Cd 0.0000 2.2806 2.7936
Cd 2.2806 0.0000 2.7936
```

## Properties
The raw total energy comes out at -223.1 eV/cell. As for the formation energy: -0.23 eV per atom. For the energy relative to the lowest polymorph listed for this composition, the calculation gives 2 meV per atom.



Number 1: total magnetization 0.0 Bohr magnetons per cell. Number 2: total magnetization 1.0 Bohr magnetons per cell. Number 3: total magnetization 0.0 Bohr magnetons per cell. Number 4: total magnetization 0.0 Bohr magnetons per cell. Number 5: total magnetization 0.0 Bohr magnetons per cell. Number 6: total magnetization 0.0 Bohr magnetons per cell. Number 7: total magnetization 0.0 Bohr magnetons per cell. Number 8: total magnetization 0.0 Bohr magnetons per cell. Number 9: total magnetization 0.0 Bohr magnetons per cell. Number 10: total magnetization 0.0 Bohr magnetons per cell. Number 11: total magnetization 0.0 Bohr magnetons per cell. Number 12: total magnetization 0.0 Bohr magnetons per cell. Number 13: total magnetization 0.0 Bohr magnetons per cell. Number 14: total magnetization 0.0 Bohr magnetons per cell.